# PBE Pr2LuAs, relaxed
# Calculated formation energy, eV per atom: -0.331
# E_tot, eV/atom: -5.013
# Magnetization, μB per formula unit: 0.00
# Crystal system: trigonal
data_Pr2LuAs
_chemical_formula_sum 'Pr6 Lu3 As3'
_cell_length_a 3.9279
_cell_length_b 3.9279
_cell_length_c 31.2575
_cell_angle_alpha 90.00
_cell_angle_beta 90.00
_cell_angle_gamma 120.00
_symmetry_space_group_name_H-M 'R -3 m'
_symmetry_Int_Tables_number 166
_symmetry_space_group_name_Hall '-R 3 2"'
loop_
_atom_site_label
_atom_site_fract_x
_atom_site_fract_y
_atom_site_fract_z
_atom_site_occupancy
Pr1 0.0000 0.0000 0.1090 1
Lu1 0.0000 0.0000 0.0000 1
As1 0.0000 0.0000 0.5000 1